Material: CaTa2Au
Method: DFT, PBE-GGA
State: optimized geometry

Calculated values
- SG: P4/mmm
- Energy above the lowest structure with this stoichiometry: 253 meV/atom
- Total energy: -6.87 eV/atom
- Calculated formation energy: 0.3800 eV/atom

Lattice parameters (Å, degrees): 5.089 4.006 4.006 90.00 90.00 90.00
Positions (direct):
1 Au 0.500 0.500 0.000
2 Ta 0.000 0.000 0.000
3 Ta 0.000 0.500 0.500
4 Ca 0.500 0.000 0.500

Material: CaTa2Au
Method: DFT, PBE-GGA
State: optimized geometry

Calculated values
- SG: R3m
- Energy above the lowest structure with this stoichiometry: 176 meV/atom
- Total energy: -6.94 eV/atom
- Calculated formation energy: 0.3035 eV/atom

Lattice parameters (Å, degrees): 9.623 9.623 9.623 19.56 19.56 19.56
Positions (direct):
1 Ca 0.754 0.754 0.754
2 Ta 0.987 0.987 0.987
3 Ta 0.251 0.251 0.251
4 Au 0.508 0.508 0.508

Material: CaTaAu
Method: DFT, PBE-GGA
State: optimized geometry

Calculated values
- SG: P6_3/mmc
- Energy above the lowest structure with this stoichiometry: 2244 meV/atom
- Total energy: -3.64 eV/atom
- Calculated formation energy: 2.0690 eV/atom

Lattice parameters (Å, degrees): 4.735 4.735 12.167 90.00 90.00 120.00
Positions (direct):
1 Ta 0.000 0.000 0.500
2 Ta 0.000 0.000 0.000
3 Au 0.667 0.333 0.750
4 Au 0.333 0.667 0.250
5 Ca 0.000 0.000 0.250
6 Ca 0.000 0.000 0.750

Material: CaTa2Au
Method: DFT, PBE-GGA
State: optimized geometry

Calculated values
- SG: Fm-3m
- Energy above the lowest structure with this stoichiometry: 639 meV/atom
- Total energy: -6.48 eV/atom
- Calculated formation energy: 0.7665 eV/atom

Lattice parameters (Å, degrees): 4.790 4.790 4.790 60.00 60.00 60.00
Positions (direct):
1 Ca 0.000 0.000 0.000
2 Ta 0.750 0.750 0.750
3 Ta 0.250 0.250 0.250
4 Au 0.500 0.500 0.500

Material: Ca3TaAu
Method: DFT, PBE-GGA
State: optimized geometry

Calculated values
- SG: Pm-3m
- Energy above the lowest structure with this stoichiometry: 0 meV/atom
- Total energy: -3.62 eV/atom
- Calculated formation energy: 0.6064 eV/atom

Lattice parameters (Å, degrees): 5.558 5.558 5.558 90.00 90.00 90.00
Positions (direct):
1 Ca 0.000 0.500 0.000
2 Ca 0.500 0.000 0.000
3 Ca 0.000 0.000 0.500
4 Ta 0.500 0.500 0.500
5 Au 0.000 0.000 0.000

Material: CaTa2Au
Method: DFT, PBE-GGA
State: optimized geometry

Calculated values
- SG: R-3m
- Energy above the lowest structure with this stoichiometry: 356 meV/atom
- Total energy: -6.76 eV/atom
- Calculated formation energy: 0.4833 eV/atom

Lattice parameters (Å, degrees): 10.589 10.589 10.589 16.29 16.29 16.29
Positions (direct):
1 Ca 0.750 0.750 0.750
2 Au 0.250 0.250 0.250
3 Ta 0.508 0.508 0.508
4 Ta 0.992 0.992 0.992

Material: CaTa2Au
Method: DFT, PBE-GGA
State: optimized geometry

Calculated values
- SG: Pmmm
- Energy above the lowest structure with this stoichiometry: 159 meV/atom
- Total energy: -6.96 eV/atom
- Calculated formation energy: 0.2862 eV/atom

Lattice parameters (Å, degrees): 3.258 4.652 5.345 90.00 90.00 90.00
Positions (direct):
1 Ta 0.500 0.500 0.000
2 Ta 0.000 0.000 0.000
3 Ca 0.000 0.500 0.500
4 Au 0.500 0.000 0.500

Material: CaTaAu2
Method: DFT, PBE-GGA
State: optimized geometry

Calculated values
- SG: I-4m2
- Energy above the lowest structure with this stoichiometry: 310 meV/atom
- Total energy: -4.99 eV/atom
- Calculated formation energy: 0.1131 eV/atom

Lattice parameters (Å, degrees): 5.622 5.622 5.622 137.46 137.46 61.73
Positions (direct):
1 Ta 0.750 0.250 0.500
2 Ca 0.500 0.500 0.000
3 Au 0.250 0.750 0.500
4 Au 0.000 0.000 0.000

Material: CaTa3Au
Method: DFT, PBE-GGA
State: optimized geometry

Calculated values
- SG: Pm-3m
- Energy above the lowest structure with this stoichiometry: 0 meV/atom
- Total energy: -6.67 eV/atom
- Calculated formation energy: 1.4970 eV/atom

Lattice parameters (Å, degrees): 5.057 5.057 5.057 90.00 90.00 90.00
Positions (direct):
1 Ta 0.000 0.500 0.000
2 Ta 0.500 0.000 0.000
3 Ta 0.000 0.000 0.500
4 Ca 0.500 0.500 0.500
5 Au 0.000 0.000 0.000

Material: CaTaAu
Method: DFT, PBE-GGA
State: optimized geometry

Calculated values
- SG: P4/nmm
- Energy above the lowest structure with this stoichiometry: 640 meV/atom
- Total energy: -5.25 eV/atom
- Calculated formation energy: 0.4649 eV/atom

Lattice parameters (Å, degrees): 4.104 4.104 7.669 90.00 90.00 90.00
Positions (direct):
1 Ta 0.500 0.000 0.869
2 Ta 0.000 0.500 0.131
3 Ca 0.500 0.500 0.500
4 Ca 0.000 0.000 0.500
5 Au 0.500 0.000 0.205
6 Au 0.000 0.500 0.795

Material: CaTa2Au
Method: DFT, PBE-GGA
State: optimized geometry

Calculated values
- SG: Immm
- Energy above the lowest structure with this stoichiometry: 25 meV/atom
- Total energy: -7.09 eV/atom
- Calculated formation energy: 0.1518 eV/atom

Lattice parameters (Å, degrees): 6.308 6.308 4.907 67.17 67.17 27.76
Positions (direct):
1 Ca 0.250 0.250 0.250
2 Au 0.750 0.750 0.750
3 Ta 0.472 0.472 0.528
4 Ta 0.028 0.028 0.972

Material: CaTaAu
Method: DFT, PBE-GGA
State: optimized geometry

Calculated values
- SG: C2/m
- Energy above the lowest structure with this stoichiometry: 211 meV/atom
- Total energy: -5.67 eV/atom
- Calculated formation energy: 0.0356 eV/atom

Lattice parameters (Å, degrees): 6.482 3.497 6.315 106.07 77.43 90.00
Positions (direct):
1 Au 0.171 0.896 0.167
2 Au 0.010 0.243 0.860
3 Ca 0.342 0.563 0.501
4 Ca 0.839 0.576 0.526
5 Ta 0.700 0.867 0.108
6 Ta 0.482 0.273 0.919

Material: CaTaAu2
Method: DFT, PBE-GGA
State: optimized geometry

Calculated values
- SG: Imm2
- Energy above the lowest structure with this stoichiometry: 180 meV/atom
- Total energy: -5.12 eV/atom
- Calculated formation energy: -0.0169 eV/atom

Lattice parameters (Å, degrees): 6.121 6.121 6.121 150.95 132.18 56.93
Positions (direct):
1 Ta 0.222 0.722 0.500
2 Au 0.002 0.002 0.000
3 Au 0.770 0.270 0.500
4 Ca 0.506 0.506 0.000

Material: CaTaAu2
Method: DFT, PBE-GGA
State: optimized geometry

Calculated values
- SG: Fm-3m
- Energy above the lowest structure with this stoichiometry: 181 meV/atom
- Total energy: -5.12 eV/atom
- Calculated formation energy: -0.0164 eV/atom

Lattice parameters (Å, degrees): 4.860 4.860 4.860 60.00 60.00 60.00
Positions (direct):
1 Ta 0.500 0.500 0.500
2 Au 0.750 0.750 0.750
3 Au 0.250 0.250 0.250
4 Ca 0.000 0.000 0.000

Material: CaTaAu
Method: DFT, PBE-GGA
State: optimized geometry

Calculated values
- SG: Pnma
- Energy above the lowest structure with this stoichiometry: 122 meV/atom
- Total energy: -5.76 eV/atom
- Calculated formation energy: -0.0533 eV/atom

Lattice parameters (Å, degrees): 7.981 3.074 10.488 90.00 90.00 90.00
Positions (direct):
1 Ta 0.559 0.750 0.602
2 Ta 0.941 0.250 0.102
3 Ta 0.059 0.750 0.898
4 Ta 0.441 0.250 0.398
5 Au 0.148 0.750 0.303
6 Au 0.648 0.750 0.197
7 Au 0.852 0.250 0.697
8 Au 0.352 0.250 0.803
9 Ca 0.336 0.250 0.096
10 Ca 0.836 0.250 0.404
11 Ca 0.164 0.750 0.596
12 Ca 0.664 0.750 0.904

Material: CaTaAu
Method: DFT, PBE-GGA
State: optimized geometry

Calculated values
- SG: F-43m
- Energy above the lowest structure with this stoichiometry: 727 meV/atom
- Total energy: -5.16 eV/atom
- Calculated formation energy: 0.5517 eV/atom

Lattice parameters (Å, degrees): 4.708 4.708 4.708 60.00 60.00 60.00
Positions (direct):
1 Au 0.750 0.750 0.750
2 Ta 0.500 0.500 0.500
3 Ca 0.000 0.000 0.000

Material: CaTaAu
Method: DFT, PBE-GGA
State: optimized geometry

Calculated values
- SG: P1
- Energy above the lowest structure with this stoichiometry: 216 meV/atom
- Total energy: -5.67 eV/atom
- Calculated formation energy: 0.0405 eV/atom

Lattice parameters (Å, degrees): 8.454 3.135 6.075 75.01 111.33 79.34
Positions (direct):
1 Ta 0.473 0.443 0.237
2 Ta 0.246 0.005 0.340
3 Ca 0.636 0.572 0.816
4 Ca 0.904 0.611 0.475
5 Au 0.304 0.253 0.784
6 Au 0.980 0.822 0.972

Material: CaTaAu
Method: DFT, PBE-GGA
State: optimized geometry

Calculated values
- SG: Pm
- Energy above the lowest structure with this stoichiometry: 228 meV/atom
- Total energy: -5.66 eV/atom
- Calculated formation energy: 0.0526 eV/atom

Lattice parameters (Å, degrees): 8.064 3.379 5.145 90.00 71.27 90.00
Positions (direct):
1 Ta 0.516 0.138 0.800
2 Ta 0.255 0.638 0.932
3 Ca 0.932 0.638 0.593
4 Ca 0.608 0.638 0.254
5 Au 0.950 0.138 0.083
6 Au 0.283 0.138 0.418

Material: CaTaAu
Method: DFT, PBE-GGA
State: optimized geometry

Calculated values
- SG: P6_3/mmc
- Energy above the lowest structure with this stoichiometry: 490 meV/atom
- Total energy: -5.40 eV/atom
- Calculated formation energy: 0.3149 eV/atom

Lattice parameters (Å, degrees): 8.372 6.308 4.830 90.00 90.00 90.00
Positions (direct):
1 Au 0.667 0.250 0.000
2 Au 0.333 0.750 0.000
3 Au 0.833 0.750 0.500
4 Au 0.167 0.250 0.500
5 Ta 0.333 0.250 0.000
6 Ta 0.667 0.750 0.000
7 Ta 0.167 0.750 0.500
8 Ta 0.833 0.250 0.500
9 Ca 0.500 0.500 0.500
10 Ca 0.500 0.000 0.500
11 Ca 0.000 0.500 0.000
12 Ca 0.000 0.000 0.000

Material: CaTaAu2
Method: DFT, PBE-GGA
State: optimized geometry

Calculated values
- SG: I-42d
- Energy above the lowest structure with this stoichiometry: 601 meV/atom
- Total energy: -4.70 eV/atom
- Calculated formation energy: 0.4039 eV/atom

Lattice parameters (Å, degrees): 5.063 5.063 9.143 73.93 73.93 90.00
Positions (direct):
1 Ta 0.000 0.000 0.000
2 Ta 0.750 0.250 0.500
3 Ca 0.500 0.500 0.000
4 Ca 0.250 0.750 0.500
5 Au 0.060 0.625 0.250
6 Au 0.690 0.125 0.250
7 Au 0.875 0.940 0.750
8 Au 0.375 0.310 0.750

Material: CaTaAu
Method: DFT, PBE-GGA
State: optimized geometry

Calculated values
- SG: Imm2
- Energy above the lowest structure with this stoichiometry: 31 meV/atom
- Total energy: -5.85 eV/atom
- Calculated formation energy: -0.1440 eV/atom

Lattice parameters (Å, degrees): 9.130 4.548 3.420 90.01 79.18 104.43
Positions (direct):
1 Ta 0.424 0.717 0.049
2 Ta 0.424 0.215 0.549
3 Ca 0.066 0.539 0.728
4 Ca 0.782 0.897 0.370
5 Au 0.680 0.346 0.921
6 Au 0.168 0.090 0.177

Material: CaTaAu
Method: DFT, PBE-GGA
State: optimized geometry

Calculated values
- SG: Pmmn
- Energy above the lowest structure with this stoichiometry: 26 meV/atom
- Total energy: -5.86 eV/atom
- Calculated formation energy: -0.1491 eV/atom

Lattice parameters (Å, degrees): 3.444 8.594 4.566 90.00 90.00 90.00
Positions (direct):
1 Au 0.282 0.616 0.245
2 Au 0.782 0.088 0.745
3 Ta 0.282 0.337 0.746
4 Ta 0.782 0.366 0.246
5 Ca 0.782 0.706 0.745
6 Ca 0.282 0.997 0.245

Material: CaTa2Au
Method: DFT, PBE-GGA
State: optimized geometry

Calculated values
- SG: P4/mmm
- Energy above the lowest structure with this stoichiometry: 337 meV/atom
- Total energy: -6.78 eV/atom
- Calculated formation energy: 0.4642 eV/atom

Lattice parameters (Å, degrees): 2.916 2.916 9.720 90.00 90.00 90.00
Positions (direct):
1 Au 0.500 0.500 0.250
2 Ta 0.000 0.000 0.465
3 Ta 0.000 0.000 0.035
4 Ca 0.500 0.500 0.750

Material: CaTa3Au
Method: DFT, PBE-GGA
State: optimized geometry

Calculated values
- SG: Pm-3m
- Energy above the lowest structure with this stoichiometry: 1012 meV/atom
- Total energy: -5.66 eV/atom
- Calculated formation energy: 2.5091 eV/atom

Lattice parameters (Å, degrees): 4.702 4.702 4.702 90.00 90.00 90.00
Positions (direct):
1 Ta 0.500 0.000 0.000
2 Ta 0.000 0.500 0.000
3 Ta 0.000 0.000 0.500
4 Ca 0.000 0.000 0.000
5 Au 0.500 0.500 0.500

Material: CaTaAu
Method: DFT, PBE-GGA
State: optimized geometry

Calculated values
- SG: I4mm
- Energy above the lowest structure with this stoichiometry: 314 meV/atom
- Total energy: -5.57 eV/atom
- Calculated formation energy: 0.1387 eV/atom

Lattice parameters (Å, degrees): 6.792 6.792 3.217 76.30 76.31 27.40
Positions (direct):
1 Au 0.018 0.018 0.982
2 Ta 0.646 0.646 0.354
3 Ca 0.337 0.337 0.663

Material: CaTaAu2
Method: DFT, PBE-GGA
State: optimized geometry

Calculated values
- SG: Pmm2
- Energy above the lowest structure with this stoichiometry: 4 meV/atom
- Total energy: -5.30 eV/atom
- Calculated formation energy: -0.1932 eV/atom

Lattice parameters (Å, degrees): 5.066 3.040 5.146 89.97 90.00 90.00
Positions (direct):
1 Ca 0.000 0.625 0.402
2 Au 0.000 0.125 0.906
3 Au 0.500 0.125 0.340
4 Ta 0.500 0.626 0.852

Material: CaTaAu2
Method: DFT, PBE-GGA
State: optimized geometry

Calculated values
- SG: Cm
- Energy above the lowest structure with this stoichiometry: 112 meV/atom
- Total energy: -5.19 eV/atom
- Calculated formation energy: -0.0855 eV/atom

Lattice parameters (Å, degrees): 5.560 5.560 5.158 77.51 77.51 30.98
Positions (direct):
1 Au 0.989 0.989 0.935
2 Au 0.267 0.267 0.307
3 Ca 0.515 0.515 0.433
4 Ta 0.729 0.729 0.826

Material: Ca3TaAu
Method: DFT, PBE-GGA
State: optimized geometry

Calculated values
- SG: Pm-3m
- Energy above the lowest structure with this stoichiometry: 418 meV/atom
- Total energy: -3.20 eV/atom
- Calculated formation energy: 1.0243 eV/atom

Lattice parameters (Å, degrees): 5.495 5.495 5.495 90.00 90.00 90.00
Positions (direct):
1 Au 0.500 0.500 0.500
2 Ca 0.500 0.000 0.000
3 Ca 0.000 0.500 0.000
4 Ca 0.000 0.000 0.500
5 Ta 0.000 0.000 0.000

Material: CaTa2Au
Method: DFT, PBE-GGA
State: optimized geometry

Calculated values
- SG: P2/m
- Energy above the lowest structure with this stoichiometry: 177 meV/atom
- Total energy: -6.94 eV/atom
- Calculated formation energy: 0.3038 eV/atom

Lattice parameters (Å, degrees): 5.430 3.058 5.006 86.34 90.00 90.00
Positions (direct):
1 Ta 0.000 0.409 0.492
2 Ta 0.000 0.091 0.008
3 Ca 0.500 0.750 0.750
4 Au 0.500 0.250 0.250